Density functional theory data (GGA-PBEsol) for NiHSCl2 after structural relaxation.

Results
Fermi-level density of states = 5.0 states/eV/f.u.
E_tot = -3.079 eV/atom
Space group = P4/mmm, No. 123

Unit cell a=4.669 b=4.669 c=4.209 alpha=90.00 beta=90.00 gamma=90.00
Sites, in units of the cell vectors:
1 Ni 0.000 0.000 0.000
2 H 0.500 0.500 0.500
3 S 0.000 0.000 0.500
4 Cl 0.000 0.500 0.000
5 Cl 0.500 0.000 0.000